Y2Tc2BC2 | the Alexandria database | PBE | relaxed; N(E_F) = 0.510 states/eV/atom; E_form = -0.312 eV per atom; total magnetic moment = 0.00 μB/f.u.
1.0
11.8501 0.0000 0.0000
0.0000 3.3776 0.0000
-2.4124 0.0000 5.2799
Y Tc B C
4 4 2 4
Cartesian
0.5593 0.0000 1.6889
2.9534 1.6888 3.5910
6.4844 1.6888 1.6889
8.8784 0.0000 3.5910
-0.0334 1.6888 4.3453
3.5461 0.0000 0.9346
5.8916 0.0000 4.3453
9.4712 1.6888 0.9346
-1.2062 1.6888 2.6399
4.7189 0.0000 2.6399
2.3695 1.6888 1.2043
1.1432 0.0000 4.0756
8.2946 0.0000 1.2043
7.0683 1.6888 4.0756

KAl2Br6 | the Alexandria database | PBE | relaxed; N(E_F) = 0.245 states/eV/atom; E_form (uncorrected) = -1.08 eV/atom; total magnetic moment = 0.38 μB/f.u.
1.0
7.5194 -6.7871 0.0000
7.5194 6.7871 0.0000
-3.1783 0.0000 7.7701
K Al Br
2 4 12
Cartesian
5.1356 4.8931 5.8276
6.7248 -4.8931 1.9425
1.8930 1.0591 6.0086
3.4822 -1.0591 2.1235
8.3782 1.0591 5.6466
9.9674 -1.0591 1.7615
-0.2734 0.7632 5.1240
2.2354 3.3655 6.2482
1.3158 -0.7632 1.2389
3.5219 0.0621 4.3661
5.1110 -0.0621 0.4810
8.0358 3.3655 5.4070
3.8246 -3.3655 2.3631
6.7494 0.0621 7.2891
8.3385 -0.0621 3.4041
10.5446 0.7632 6.5312
9.6250 -3.3655 1.5219
12.1338 -0.7632 2.6461

K2PuCuSe4 | the Alexandria database | PBE | relaxed; N(E_F) = 1.343 states/eV/atom; E_form (uncorrected) = -0.89 eV/atom; total magnetic moment = 3.99 μB/f.u.
1.0
-4.0878 4.2838 6.4338
4.0878 -4.2838 6.4338
4.0878 4.2838 -6.4338
K Pu Cu Se
4 2 2 8
Cartesian
0.0000 0.0000 0.0000
-2.0439 2.1419 3.2169
0.0000 4.2838 0.0000
2.0439 2.1419 3.2169
4.0878 0.0000 0.0000
0.0000 0.0000 6.4338
2.0439 2.1419 -3.2169
2.0439 -2.1419 3.2169
4.0878 -0.5763 2.9320
4.0878 3.7075 -2.9320
2.2912 2.1419 0.0917
5.8844 2.1419 0.0917
-1.7966 2.1419 6.3422
1.7966 2.1419 6.3422
0.0000 0.5763 9.3659
0.0000 4.8600 3.5018

Ga2SnPb | the Alexandria database | PBE | relaxed; N(E_F) = 0.518 states/eV/atom; E_form = 0.071 eV per atom; relative energy among the computed polymorphs = 23.4 meV/atom; total magnetic moment = 0.00 μB/f.u.
1.0
6.8659 0.0000 0.0000
0.0000 4.1575 0.0000
0.0000 0.0000 14.2055
Ga Sn Pb
8 4 4
Cartesian
0.4891 1.0394 0.8102
1.1058 1.0394 7.3305
2.3271 3.1182 0.2278
2.9439 3.1182 7.9129
3.9220 1.0394 6.2926
4.5387 1.0394 13.9778
5.7601 3.1182 6.8750
6.3768 3.1182 13.3954
0.3669 3.1182 9.4138
3.0661 1.0394 2.3110
3.7998 3.1182 11.8945
6.4990 1.0394 4.7918
1.2097 1.0394 11.8059
2.2232 3.1182 4.7031
4.6427 1.0394 9.5024
5.6561 3.1182 2.3996

Pr3Y4Er | the Alexandria database | PBE | relaxed; N(E_F) = 1.342 states/eV/atom; E_form = 0.002 eV per atom; relative energy among the computed polymorphs = 0.0 meV/atom; total magnetic moment = 0.00 μB/f.u.
1.0
11.7003 0.0000 0.0000
0.0000 6.2808 0.0000
0.0000 0.0000 7.2771
Pr Y Er
6 8 2
Cartesian
0.0000 1.0444 0.0000
2.9081 3.1335 3.6427
2.9421 3.1473 0.0042
5.8502 5.2363 3.6386
8.7583 3.1473 0.0042
8.7922 3.1335 3.6427
0.0000 1.0470 3.6471
0.0000 4.1849 1.8309
2.9186 6.2736 5.4624
2.9316 0.0072 1.8239
5.8502 2.0959 5.4695
5.8502 5.2338 0.0085
8.7688 0.0072 1.8239
8.7817 6.2736 5.4624
0.0000 4.1807 5.4523
5.8502 2.1000 1.8137

RbInAgTe3 | the Alexandria database | PBE | relaxed; N(E_F) = 0.681 states/eV/atom; E_form (uncorrected) = -0.36 eV/atom; total magnetic moment = 0.00 μB/f.u.
1.0
9.4206 0.0000 0.0000
0.0000 4.3320 0.0000
-3.8935 0.0000 10.9017
Rb In Ag Te
2 2 2 6
Cartesian
1.2942 1.0830 2.5770
4.2330 3.2490 8.3247
-1.0638 1.0830 7.0484
6.5910 3.2490 3.8533
-0.3734 3.2490 9.8722
5.9005 1.0830 1.0295
-2.3137 1.0830 9.6286
-0.1394 3.2490 5.4212
1.3194 1.0830 8.9590
4.2077 3.2490 1.9426
5.6666 1.0830 5.4805
7.8408 3.2490 1.2731

TlSiSe | the Alexandria database | PBE | relaxed; N(E_F) = 0.126 states/eV/atom; E_form (uncorrected) = -0.11 eV/atom; relative energy among the computed polymorphs = 10.5 meV/atom; total magnetic moment = 0.00 μB/f.u.
1.0
16.5191 0.0000 0.0000
0.0000 4.0897 0.0000
-0.7187 0.0000 5.1480
Tl Si Se
4 4 4
Cartesian
1.3619 0.0000 1.4283
6.1790 2.0449 3.7197
9.6214 2.0449 1.4283
14.4385 0.0000 3.7197
3.1355 2.0449 4.6120
4.4053 0.0000 0.5360
11.3951 0.0000 4.6120
12.6648 2.0449 0.5360
0.9733 2.0449 3.9467
6.5675 0.0000 1.2012
9.2329 0.0000 3.9467
14.8270 2.0449 1.2012

Ge3NCl | the Alexandria database | PBE | relaxed; N(E_F) = 0.572 states/eV/atom; E_form (uncorrected) = 1.83 eV/atom; relative energy among the computed polymorphs = 1100.6 meV/atom; total magnetic moment = 0.00 μB/f.u.
1.0
4.9219 0.0000 0.0000
0.0000 4.9219 0.0000
0.0000 0.0000 4.9219
Ge N Cl
3 1 1
Cartesian
0.0000 0.0000 2.4610
0.0000 2.4610 0.0000
2.4610 0.0000 0.0000
2.4610 2.4610 2.4610
0.0000 0.0000 0.0000

BaLi6CdAg | the Alexandria database | PBE | relaxed; N(E_F) = 0.572 states/eV/atom; E_form = -0.040 eV per atom; total magnetic moment = 0.00 μB/f.u.
1.0
-2.8312 4.7157 8.0262
2.8312 -4.7157 8.0262
2.8312 4.7157 -8.0262
Ba Li Cd Ag
2 12 2 2
Cartesian
0.0000 2.3579 0.2393
2.8312 2.3579 7.7869
2.8312 2.3579 -1.6850
1.4293 -0.0430 2.6237
4.2330 -0.0430 2.6237
1.4293 4.6728 -2.6237
1.4018 -0.0430 5.4025
2.8312 2.3579 3.6649
0.0000 2.3579 4.3613
1.4293 4.7587 2.6237
1.4018 0.0430 10.6499
-1.4018 4.7587 5.4025
1.4018 4.7587 5.4025
0.0000 2.3579 9.7112
2.8312 0.0000 0.0000
0.0000 0.0000 8.0262
1.4156 2.3579 -4.0131
1.4156 -2.3579 4.0131

Tm6SiNi2 | the Alexandria database | PBE | relaxed; N(E_F) = 0.854 states/eV/atom; E_form (uncorrected) = -0.40 eV/atom; total magnetic moment = 0.00 μB/f.u.
1.0
-4.5229 4.6962 4.8982
4.5229 -4.6962 4.8982
4.5229 4.6962 -4.8982
Tm Si Ni
12 2 4
Cartesian
4.5229 2.8827 -2.5675
2.5348 1.6786 0.0000
6.5110 1.6786 0.0000
1.7305 4.6962 -1.6777
2.7924 0.0000 3.2204
0.0000 1.8135 2.3307
4.5229 2.8827 2.5675
1.7305 4.6962 1.6777
2.7924 0.0000 6.5759
-1.9881 3.0175 4.8982
1.9881 3.0175 4.8982
0.0000 1.8135 7.4656
0.0000 0.0000 0.0000
0.0000 0.0000 4.8982
4.5229 0.0000 1.1973
0.0000 3.1724 0.0000
0.0000 6.2199 0.0000
0.0000 4.6962 3.7009

La2PmSm2Ho | the Alexandria database | PBE | relaxed; N(E_F) = 1.493 states/eV/atom; E_form = 0.057 eV per atom; total magnetic moment = 0.00 μB/f.u.
1.0
5.7769 0.0000 0.0000
0.0000 10.0283 0.0000
0.0000 0.0000 7.1214
La Pm Sm Ho
4 2 4 2
Cartesian
0.0000 0.0056 0.0000
0.0000 10.0227 3.5607
2.8884 1.7201 1.7830
2.8884 8.3082 5.3437
2.8884 5.0111 7.1201
2.8884 5.0172 3.5594
0.0000 3.3368 1.7807
0.0000 6.6915 5.3414
2.8884 1.6624 5.3392
2.8884 8.3659 1.7784
0.0000 3.3881 5.3384
0.0000 6.6401 1.7777

LaThPd2 | the Alexandria database | PBE | relaxed; N(E_F) = 0.457 states/eV/atom; E_form = -0.725 eV per atom; relative energy among the computed polymorphs = 68.5 meV/atom; total magnetic moment = 0.00 μB/f.u.
1.0
4.2233 0.0000 0.0000
-2.1116 3.6575 0.0000
0.0000 0.0000 20.9750
La Th Pd
3 3 6
Cartesian
0.0000 0.0000 0.0000
0.0000 2.4383 13.9833
2.1117 1.2192 6.9917
0.0000 0.0000 10.4875
0.0000 2.4383 3.4958
2.1117 1.2192 17.4792
0.0000 0.0000 5.1556
0.0000 0.0000 15.8194
0.0000 2.4383 8.8278
0.0000 2.4383 19.1389
2.1117 1.2192 1.8361
2.1117 1.2192 12.1473

In2NiMo | the Alexandria database | PBE | relaxed; N(E_F) = 0.690 states/eV/atom; E_form = 0.220 eV per atom; relative energy among the computed polymorphs = 17.7 meV/atom; total magnetic moment = 0.31 μB/f.u.
1.0
2.9289 0.0000 0.0000
0.0000 2.9289 0.0000
0.0000 0.0000 7.9515
In Ni Mo
2 1 1
Cartesian
0.0000 0.0000 1.7988
0.0000 0.0000 6.1527
1.4644 1.4644 0.0000
1.4644 1.4644 3.9757

CaPr2Sn | the Alexandria database | PBE | relaxed; N(E_F) = 1.205 states/eV/atom; E_form = -0.305 eV per atom; relative energy among the computed polymorphs = 102.4 meV/atom; total magnetic moment = 0.00 μB/f.u.
1.0
7.9346 0.0000 0.0000
0.0000 7.9346 0.0000
0.0000 0.0000 7.9346
Ca Pr Sn
4 8 4
Cartesian
0.0000 0.0000 0.0000
0.0000 3.9673 3.9673
3.9673 0.0000 3.9673
3.9673 3.9673 0.0000
1.9837 1.9837 1.9837
1.9837 1.9837 5.9510
1.9837 5.9510 1.9837
1.9837 5.9510 5.9510
5.9510 1.9837 1.9837
5.9510 1.9837 5.9510
5.9510 5.9510 1.9837
5.9510 5.9510 5.9510
0.0000 0.0000 3.9673
0.0000 3.9673 0.0000
3.9673 0.0000 0.0000
3.9673 3.9673 3.9673

LiCa2Ga3Pt4 | the Alexandria database | PBE | relaxed; N(E_F) = 0.531 states/eV/atom; E_form = -0.863 eV per atom; total magnetic moment = 0.00 μB/f.u.
1.0
4.1262 0.0000 0.0000
0.0000 4.1262 0.0000
0.0000 0.0000 11.0244
Li Ca Ga Pt
1 2 3 4
Cartesian
0.0000 0.0000 0.0000
0.0000 2.0631 8.3256
2.0631 0.0000 2.6989
0.0000 2.0631 4.0310
2.0631 0.0000 6.9935
2.0631 2.0631 0.0000
0.0000 0.0000 5.5122
0.0000 2.0631 1.5456
2.0631 0.0000 9.4789
2.0631 2.0631 5.5122

LaCrRh | the Alexandria database | PBE | relaxed; N(E_F) = 0.795 states/eV/atom; E_form = 0.092 eV per atom; relative energy among the computed polymorphs = 174.3 meV/atom; total magnetic moment = 4.12 μB/f.u.
1.0
6.6059 0.0000 0.0000
0.0000 6.6059 0.0000
0.0000 0.0000 6.6059
La Cr Rh
4 4 4
Cartesian
0.0000 0.0000 0.0000
0.0000 3.3030 3.3030
3.3030 0.0000 3.3030
3.3030 3.3030 0.0000
0.0000 0.0000 3.3030
0.0000 3.3030 0.0000
3.3030 0.0000 0.0000
3.3030 3.3030 3.3030
1.6515 1.6515 1.6515
1.6515 4.9545 4.9545
4.9545 1.6515 4.9545
4.9545 4.9545 1.6515

NaLiMgHg | the Alexandria database | PBE | relaxed; N(E_F) = 0.565 states/eV/atom; E_form = -0.156 eV per atom; total magnetic moment = 0.00 μB/f.u.
1.0
7.0047 0.0000 0.0000
0.0000 7.0047 0.0000
0.0000 0.0000 7.0047
Na Li Mg Hg
4 4 4 4
Cartesian
0.0000 0.0000 0.0000
0.0000 3.5024 3.5024
3.5024 0.0000 3.5024
3.5024 3.5024 0.0000
1.7512 1.7512 5.2536
1.7512 5.2536 1.7512
5.2536 1.7512 1.7512
5.2536 5.2536 5.2536
1.7512 1.7512 1.7512
1.7512 5.2536 5.2536
5.2536 1.7512 5.2536
5.2536 5.2536 1.7512
0.0000 0.0000 3.5024
0.0000 3.5024 0.0000
3.5024 0.0000 0.0000
3.5024 3.5024 3.5024

HgPdN2F | the Alexandria database | PBE | relaxed; N(E_F) = 0.256 states/eV/atom; E_form (uncorrected) = 0.96 eV/atom; relative energy among the computed polymorphs = 0.0 meV/atom; total magnetic moment = 2.55 μB/f.u.
1.0
4.0354 0.0000 0.0000
0.0000 4.0354 0.0000
0.0000 0.0000 4.3846
Hg Pd N F
1 1 2 1
Cartesian
0.0000 0.0000 0.0000
2.0177 2.0177 2.1923
0.0000 2.0177 2.1923
2.0177 0.0000 2.1923
2.0177 2.0177 0.0000

Ac3Si4Tc2 | the Alexandria database | PBE | relaxed; N(E_F) = 0.769 states/eV/atom; E_form (uncorrected) = -0.49 eV/atom; total magnetic moment = 0.00 μB/f.u.
1.0
5.9324 -2.1950 0.0000
5.9324 2.1950 0.0000
-2.6026 0.0000 8.1442
Ac Si Tc
3 4 2
Cartesian
0.0000 0.0000 0.0000
3.8057 0.0000 2.4840
5.4564 0.0000 5.6602
0.4182 0.0000 3.2876
0.9616 0.0000 7.4710
8.3006 0.0000 0.6732
8.8440 0.0000 4.8566
1.9414 0.0000 5.2364
7.3208 0.0000 2.9079

AlCu2TcH | the Alexandria database | PBE | relaxed; N(E_F) = 0.546 states/eV/atom; final energy = -5.21 eV/atom; total magnetic moment = 0.62 μB/f.u.
1.0
3.7377 0.0000 0.0000
0.0000 3.7377 0.0000
0.0000 0.0000 3.9599
Al Cu Tc H
1 2 1 1
Cartesian
0.0000 0.0000 0.0000
0.0000 1.8689 1.9799
1.8689 0.0000 1.9799
1.8689 1.8689 0.0000
1.8689 1.8689 1.9799